1.
Below is a geometry-optimized Sn2SbAu6 structure, with properties calculated at the PBE level.

Geometry as POSCAR:
```
Sn2SbAu6
1.0
5.145 0.000 0.000
-2.572 4.181 -1.376
0.000 -3.442 9.933
Sn Sb Au
2 1 6
Direct
0.739 0.477 0.860
0.261 0.523 0.140
0.000 0.000 0.500
0.020 0.039 0.797
0.622 0.245 0.172
0.378 0.755 0.828
0.640 0.280 0.468
0.360 0.720 0.532
0.980 0.961 0.203
```

Values from the calculation:
**Space-group type**: No. 12
**Uncorrected formation energy**: -0.0539 eV per atom
**Theoretical density**: 13.520 g/cm3
**E_tot**: -32.3 eV for the cell shown

2.
Below is a geometry-optimized SnSbAu2 structure, with properties calculated at the PBE level.

Geometry as POSCAR:
```
SnSbAu2
1.0
-3.383 -2.534 0.149
1.284 -1.513 3.422
-1.629 4.725 2.701
Sn Sb Au
1 1 2
Direct
0.402 0.500 0.419
0.768 0.000 0.989
0.241 0.500 0.905
0.921 0.000 0.505
```

Values from the calculation:
**Space-group type**: No. 6
**Uncorrected formation energy**: -0.1031 eV per atom
**Theoretical density**: 11.457 g/cm3
**E_tot**: -15.1 eV for the cell shown

3.
Below is a geometry-optimized SnSb2Au2 structure, with properties calculated at the PBE level.

Geometry as POSCAR:
```
SnSb2Au2
1.0
4.475 0.000 0.000
0.000 4.475 0.000
2.238 2.238 6.403
Sb Au Sn
2 2 1
Direct
0.750 0.250 0.500
0.250 0.750 0.500
0.396 0.396 0.208
0.604 0.604 0.792
0.000 0.000 0.000
```

Values from the calculation:
**Space-group type**: No. 139
**Uncorrected formation energy**: 0.1043 eV per atom
**Theoretical density**: 9.791 g/cm3
**Excess energy over the best structure of this formula in the dataset**: 173 meV per atom
**E_tot**: -18.3 eV for the cell shown

4.
Below is a geometry-optimized Sn2SbAu structure, with properties calculated at the PBE level.

Geometry as POSCAR:
```
Sn2SbAu
1.0
4.352 -0.006 0.004
2.171 3.772 0.004
2.180 1.257 8.144
Sn Sb Au
2 1 1
Direct
0.124 0.569 0.527
0.613 0.058 0.061
0.732 0.177 0.700
0.235 0.680 0.191
```

Values from the calculation:
**Space-group type**: No. 8
**Uncorrected formation energy**: -0.0062 eV per atom
**Theoretical density**: 6.905 g/cm3
**E_tot**: -15.4 eV for the cell shown

5.
Below is a geometry-optimized Sn4Sb5Au structure, with properties calculated at the PBE level.

Geometry as POSCAR:
```
Sn4Sb5Au
1.0
4.280 0.000 -0.603
-0.085 4.279 -0.603
-0.006 -0.006 15.443
Sn Sb Au
4 5 1
Direct
0.400 0.400 0.799
0.804 0.804 0.608
0.196 0.196 0.392
0.600 0.600 0.201
0.092 0.092 0.184
0.500 0.500 0.000
0.908 0.908 0.816
0.299 0.299 0.597
0.701 0.701 0.403
0.000 0.000 0.000
```

Values from the calculation:
**Space-group type**: No. 139
**Uncorrected formation energy**: 0.0094 eV per atom
**Theoretical density**: 7.521 g/cm3
**E_tot**: -39.8 eV for the cell shown

6.
Below is a geometry-optimized Sn2SbAu structure, with properties calculated at the PBE level.

Geometry as POSCAR:
```
Sn2SbAu
1.0
-3.682 0.231 -2.183
-0.807 -2.801 -3.144
-4.358 -4.962 2.617
Sb Au Sn
1 1 2
Direct
0.500 0.500 0.500
0.000 0.000 0.000
0.259 0.259 0.223
0.741 0.741 0.777
```

Values from the calculation:
**Space-group type**: No. 166
**Uncorrected formation energy**: -0.0678 eV per atom
**Theoretical density**: 8.715 g/cm3
**E_tot**: -15.7 eV for the cell shown

7.
Below is a geometry-optimized Sn12Sb3Au5 structure, with properties calculated at the PBE level.

Geometry as POSCAR:
```
Sn12Sb3Au5
1.0
-5.871 -13.416 -1.307
13.484 0.042 -5.861
0.828 3.622 14.226
Sb Au Sn
12 20 48
Direct
0.750 0.375 0.125
0.875 0.750 0.125
0.375 0.750 0.625
0.250 0.125 0.375
0.875 0.125 0.250
0.375 0.625 0.250
0.625 0.375 0.750
0.125 0.875 0.750
0.750 0.875 0.625
0.625 0.250 0.375
0.125 0.250 0.875
0.250 0.625 0.875
0.125 0.375 0.250
0.000 0.500 0.000
0.000 0.000 0.000
0.375 0.250 0.125
0.500 0.000 0.500
0.500 0.500 0.000
0.125 0.750 0.375
0.750 0.125 0.875
0.750 0.625 0.375
0.375 0.125 0.750
0.625 0.875 0.250
0.500 0.500 0.500
0.500 0.000 0.000
0.000 0.000 0.500
0.250 0.375 0.625
0.250 0.875 0.125
0.000 0.500 0.500
0.875 0.250 0.625
0.625 0.750 0.875
0.875 0.625 0.750
0.717 0.131 0.048
0.331 0.548 0.417
0.952 0.369 0.283
0.548 0.217 0.131
0.586 0.717 0.669
0.952 0.583 0.169
0.331 0.783 0.414
0.083 0.914 0.131
0.583 0.952 0.669
0.717 0.586 0.169
0.783 0.452 0.369
0.831 0.917 0.048
0.131 0.717 0.548
0.369 0.417 0.086
0.086 0.917 0.369
0.414 0.131 0.583
0.086 0.169 0.217
0.452 0.669 0.083
0.831 0.914 0.283
0.131 0.414 0.083
0.369 0.952 0.783
0.583 0.631 0.414
0.917 0.831 0.548
0.783 0.331 0.914
0.417 0.369 0.586
0.083 0.169 0.452
0.217 0.669 0.086
0.169 0.086 0.717
0.631 0.048 0.217
0.869 0.586 0.917
0.548 0.331 0.917
0.586 0.869 0.417
0.914 0.831 0.783
0.914 0.083 0.631
0.869 0.283 0.452
0.169 0.083 0.952
0.631 0.583 0.914
0.417 0.048 0.331
0.283 0.414 0.831
0.217 0.548 0.631
0.917 0.086 0.869
0.669 0.217 0.586
0.452 0.783 0.869
0.048 0.417 0.831
0.414 0.283 0.331
0.048 0.631 0.717
0.669 0.452 0.583
0.283 0.869 0.952
```

Values from the calculation:
**Space-group type**: No. 230
**Uncorrected formation energy**: 0.0579 eV per atom
**Theoretical density**: 7.532 g/cm3
**E_tot**: -302.5 eV for the cell shown

8.
Below is a geometry-optimized SnSbAu2 structure, with properties calculated at the PBE level.

Geometry as POSCAR:
```
SnSbAu2
1.0
-0.971 2.365 3.179
0.925 -1.195 3.790
5.843 3.430 1.851
Sb Au Sn
1 2 1
Direct
0.500 0.500 0.500
0.249 0.249 0.253
0.751 0.751 0.747
0.000 0.000 0.000
```

Values from the calculation:
**Space-group type**: No. 166
**Uncorrected formation energy**: -0.0874 eV per atom
**Theoretical density**: 11.043 g/cm3
**E_tot**: -15.0 eV for the cell shown

9.
Below is a geometry-optimized Sn2Sb2Au3 structure, with properties calculated at the PBE level.

Geometry as POSCAR:
```
Sn2Sb2Au3
1.0
-0.818 -2.580 3.503
7.045 -2.018 0.158
-2.010 6.441 1.478
Sn Sb Au
2 2 3
Direct
0.637 0.792 0.274
0.363 0.208 0.726
0.896 0.755 0.792
0.104 0.245 0.208
0.000 0.500 0.000
0.272 0.757 0.545
0.728 0.243 0.455
```

Values from the calculation:
**Space-group type**: No. 12
**Uncorrected formation energy**: -0.1077 eV per atom
**Theoretical density**: 10.130 g/cm3
**Excess energy over the best structure of this formula in the dataset**: 0 meV per atom
**E_tot**: -26.8 eV for the cell shown

10.
Below is a geometry-optimized SnSbAu5 structure, with properties calculated at the PBE level.

Geometry as POSCAR:
```
SnSbAu5
1.0
0.416 2.748 4.597
6.257 0.710 2.148
1.276 6.475 -0.848
Sn Sb Au
1 1 5
Direct
0.299 0.500 0.500
0.742 0.000 0.000
0.804 0.236 0.236
0.811 0.500 0.500
0.277 0.764 0.764
0.299 0.172 0.828
0.299 0.828 0.172
```

Values from the calculation:
**Space-group type**: No. 44
**Uncorrected formation energy**: 0.2115 eV per atom
**Theoretical density**: 10.270 g/cm3
**E_tot**: -23.0 eV for the cell shown

11.
Below is a geometry-optimized SnSbAu2 structure, with properties calculated at the PBE level.

Geometry as POSCAR:
```
SnSbAu2
1.0
3.619 0.000 0.000
0.000 3.619 0.000
0.000 0.000 6.846
Sb Au Sn
1 2 1
Direct
0.500 0.500 0.500
0.000 0.000 0.749
0.000 0.000 0.251
0.500 0.500 0.000
```

Values from the calculation:
**Space-group type**: No. 123
**Uncorrected formation energy**: 0.0422 eV per atom
**Theoretical density**: 11.747 g/cm3
**E_tot**: -14.5 eV for the cell shown

12.
Below is a geometry-optimized Sn5SbAu3 structure, with properties calculated at the PBE level.

Geometry as POSCAR:
```
Sn5SbAu3
1.0
-3.691 1.873 -0.590
0.710 -0.756 -6.849
-7.530 -14.547 0.933
Sn Sb Au
10 2 6
Direct
0.500 0.868 0.767
0.500 0.860 0.096
0.500 0.863 0.430
0.000 0.634 0.930
0.000 0.638 0.598
0.000 0.362 0.402
0.000 0.366 0.070
0.500 0.140 0.904
0.500 0.137 0.570
0.500 0.132 0.233
0.000 0.633 0.265
0.000 0.367 0.735
0.000 0.000 0.000
0.000 0.001 0.668
0.000 0.999 0.332
0.500 0.500 0.832
0.500 0.500 0.500
0.500 0.500 0.168
```

Values from the calculation:
**Space-group type**: No. 10
**Uncorrected formation energy**: -0.1323 eV per atom
**Theoretical density**: 9.130 g/cm3
**E_tot**: -70.3 eV for the cell shown